First-principles (PBE) data for an optimized crystal structure of ThSbClO4, as listed in the Alexandria database.

POSCAR file:
```
ThSbClO4
1.0
5.367 -3.709 0.000
5.367 3.709 0.000
-2.166 0.000 6.866
Th Sb Cl O
2 2 2 8
Cartesian
2.227 0.000 0.880
6.342 0.000 5.987
2.313 0.000 5.001
6.256 0.000 1.866
-1.567 0.000 5.328
10.137 0.000 1.538
1.321 1.396 5.866
2.093 0.000 3.136
4.442 0.000 1.377
1.321 -1.396 5.866
7.249 1.396 1.000
4.127 0.000 5.489
6.476 0.000 3.730
7.249 -1.396 1.000
```

Output
Fermi-level density of states: 0.00 states/eV/cell
Volume: 19.53 A^3/atom
Raw total energy: -6.97 eV per atom
ΔE_f (raw): -15.59 eV per formula unit
Mass density: 5.506 g cm⁻³